[1]
A geometry-optimized RbNaV2Br8 structure. Source: Alexandria, functional GGA-PBE.

```
data_RbNaV2Br8
_space_group_name_H-M_alt 'P -3'
_space_group_IT_number 147
_cell_length_a 7.0617
_cell_length_b 7.0617
_cell_length_c 10.3226
_cell_angle_alpha 90.00
_cell_angle_beta 90.00
_cell_angle_gamma 120.00
loop_
_space_group_symop_operation_xyz
'x,y,z'
'-x,-y,-z'
'-y,x-y,z'
'y,-x+y,-z'
'-x+y,-x,z'
'x-y,x,-z'
loop_
_atom_site_label
_atom_site_type_symbol
_atom_site_fract_x
_atom_site_fract_y
_atom_site_fract_z
Rb1 Rb 0.0000 0.0000 0.0000
Na1 Na 0.0000 0.0000 0.5000
V1 V 0.3333 0.6667 0.7543
Br1 Br 0.0147 0.3370 0.6876
Br2 Br 0.3333 0.6667 0.9845
```

Summary:
uncorrected energy: -3.905 eV per atom
total magnetic moment: 4.00 μB/f.u.
ΔE_f (raw): -1.08 eV per atom

***

[2]
A geometry-optimized Ca2AlAuO5 structure. Source: Alexandria, functional GGA-PBE.

```
data_Ca2AlAuO5
_space_group_name_H-M_alt 'C m c 21'
_space_group_IT_number 36
_cell_length_a 3.162
_cell_length_b 12.620
_cell_length_c 11.297
_cell_angle_alpha 90.00
_cell_angle_beta 90.00
_cell_angle_gamma 90.00
loop_
_space_group_symop_operation_xyz
'x,y,z'
'-x,-y,z+1/2'
'-x,y,z'
'x,-y,z+1/2'
'x+1/2,y+1/2,z'
'-x+1/2,-y+1/2,z+1/2'
'-x+1/2,y+1/2,z'
'x+1/2,-y+1/2,z+1/2'
loop_
_atom_site_label
_atom_site_type_symbol
_atom_site_fract_x
_atom_site_fract_y
_atom_site_fract_z
Ca1 Ca 0.000 0.072 0.000
Ca2 Ca 0.000 0.156 0.631
Al1 Al 0.000 0.233 0.381
Au1 Au 0.000 0.461 0.787
O1 O 0.000 0.093 0.426
O2 O 0.000 0.249 0.996
O3 O 0.000 0.299 0.768
O4 O 0.000 0.378 0.337
O5 O 0.000 0.485 0.114
```

Summary:
uncorrected energy: -5.991 eV per atom
total magnetic moment: 0.00 μB/f.u.
ΔE_f (raw): -2.01 eV per atom

***

[3]
A geometry-optimized LaTb2Tm structure. Source: Alexandria, functional GGA-PBE.

```
data_LaTb2Tm
_space_group_name_H-M_alt 'P -1'
_space_group_IT_number 2
_cell_length_a 3.645
_cell_length_b 6.779
_cell_length_c 11.269
_cell_angle_alpha 89.94
_cell_angle_beta 80.70
_cell_angle_gamma 74.42
loop_
_space_group_symop_operation_xyz
'x,y,z'
'-x,-y,-z'
loop_
_atom_site_label
_atom_site_type_symbol
_atom_site_fract_x
_atom_site_fract_y
_atom_site_fract_z
La1 La 0.149 0.231 0.474
Tb1 Tb 0.101 0.016 0.781
Tb2 Tb 0.396 0.473 0.738
Tm1 Tm 0.353 0.272 0.019
```

Summary:
uncorrected energy: -4.640 eV per atom
E above lowest polymorph: 0.067 eV per formula unit
total magnetic moment: 0.00 μB/f.u.
DFT formation energy: 24.6 meV/atom

***

[4]
A geometry-optimized Cs2SiBr6N structure. Source: Alexandria, functional GGA-PBE.

```
data_Cs2SiBr6N
_space_group_name_H-M_alt 'I 4/m m m'
_space_group_IT_number 139
_space_group_name_Hall '-I 4 2'
_cell_length_a 7.865
_cell_length_b 7.865
_cell_length_c 11.163
_cell_angle_alpha 90.00
_cell_angle_beta 90.00
_cell_angle_gamma 90.00
loop_
_atom_site_label
_atom_site_type_symbol
_atom_site_fract_x
_atom_site_fract_y
_atom_site_fract_z
Cs1 Cs 0.000 0.500 0.250
Si1 Si 0.000 0.000 0.000
Br1 Br 0.000 0.000 0.219
Br2 Br 0.219 0.219 0.000
N1 N 0.000 0.000 0.500
```

Summary:
uncorrected energy: -3.103 eV per atom
total magnetic moment: 3.00 μB/f.u.
ΔE_f (raw): -0.55 eV per atom

***

[5]
A geometry-optimized Y3Ho7Th2 structure. Source: Alexandria, functional GGA-PBE.

```
data_Y3Ho7Th2
_space_group_name_H-M_alt 'P -1'
_space_group_IT_number 2
_cell_length_a 3.565
_cell_length_b 6.153
_cell_length_c 17.348
_cell_angle_alpha 93.48
_cell_angle_beta 95.89
_cell_angle_gamma 90.00
loop_
_space_group_symop_operation_xyz
'x,y,z'
'-x,-y,-z'
loop_
_atom_site_label
_atom_site_type_symbol
_atom_site_fract_x
_atom_site_fract_y
_atom_site_fract_z
Y1 Y 0.000 0.000 0.000
Y2 Y 0.334 0.446 0.668
Ho1 Ho 0.083 0.360 0.166
Ho2 Ho 0.251 0.759 0.502
Ho3 Ho 0.416 0.135 0.832
Ho4 Ho 0.500 0.500 0.000
Th1 Th 0.166 0.057 0.332
```

Summary:
uncorrected energy: -5.512 eV per atom
total magnetic moment: 0.00 μB/f.u.
DFT formation energy: 11.2 meV/atom

***

[6]
A geometry-optimized Mn2Cu2Au7 structure. Source: Alexandria, functional GGA-PBE.

```
data_Mn2Cu2Au7
_space_group_name_H-M_alt 'C 1 2/m 1'
_space_group_IT_number 12
_cell_length_a 9.526
_cell_length_b 7.919
_cell_length_c 5.203
_cell_angle_alpha 90.00
_cell_angle_beta 96.36
_cell_angle_gamma 90.00
loop_
_space_group_symop_operation_xyz
'x,y,z'
'-x,-y,-z'
'-x,y,-z'
'x,-y,z'
'x+1/2,y+1/2,z'
'-x+1/2,-y+1/2,-z'
'-x+1/2,y+1/2,-z'
'x+1/2,-y+1/2,z'
loop_
_atom_site_label
_atom_site_type_symbol
_atom_site_fract_x
_atom_site_fract_y
_atom_site_fract_z
Mn1 Mn 0.000 0.189 0.000
Cu1 Cu 0.210 0.000 0.219
Au1 Au 0.000 0.000 0.500
Au2 Au 0.017 0.500 0.751
Au3 Au 0.241 0.177 0.745
```

Summary:
uncorrected energy: -4.414 eV per atom
total magnetic moment: 8.69 μB/f.u.
DFT formation energy: 83.1 meV/atom